Record 1
Computed, not measured: a geometry-optimized PdRhS structure at the PBE level of DFT.

Calculated values
V (Å³/atom): 14.73
Mass density (g/cm³): 9.07
Energy above the most stable polymorph in this dataset (eV per atom): 0.117
Formation energy without anion corrections (meV per atom): -11
Size of the total moment (μB/cell): 0.0

abc: 3.0161 3.0161 5.3051
angles: 106.52 106.52 90.00
Last column: nearest neighbours and their distance in Å.
Atoms (fractional coordinates):
S 0.2615 0.2615 0.5231  4 Rh 2.41
Rh 0.6452 0.6452 0.2904  4 S 2.41
Pd 0.9432 0.9432 0.8865  5 S 2.77-3.09, 5 Rh 2.90, 4 Pd 3.02

=====

Record 2
Computed, not measured: a geometry-optimized Pd3RhS structure at the PBE level of DFT.

Calculated values
V (Å³/atom): 22.07
Mass density (g/cm³): 6.83
Energy above the most stable polymorph in this dataset (eV per atom): 0.982
Formation energy without anion corrections (meV per atom): 1302
Size of the total moment (μB/cell): 2.0

abc: 4.7966 4.7966 4.7966
angles: 90.00 90.00 90.00
Last column: nearest neighbours and their distance in Å.
Atoms (fractional coordinates):
S 0.5000 0.5000 0.5000  12 Pd 3.39
Rh 0.0000 0.0000 0.0000  6 Pd 2.40
Pd 0.0000 0.5000 0.0000  2 Rh 2.40
Pd 0.0000 0.0000 0.5000  2 Rh 2.40
Pd 0.5000 0.0000 0.0000  2 Rh 2.40

=====

Record 3
Computed, not measured: a geometry-optimized PdRh2S4 structure at the PBE level of DFT.

Calculated values
V (Å³/atom): 17.71
Mass density (g/cm³): 5.90
Formation energy without anion corrections (meV per atom): -415
Size of the total moment (μB/cell): 0.0

abc: 7.0549 7.0438 12.2095
angles: 106.60 90.00 120.05
Last column: nearest neighbours and their distance in Å.
Atoms (fractional coordinates):
Pd 0.9374 0.3750 0.3121  4 S 2.36
Pd 0.4375 0.3750 0.8121  4 S 2.36
Pd 0.5625 0.6250 0.1879  4 S 2.36
Pd 0.0626 0.6250 0.6879  4 S 2.36
Rh 0.5000 0.0000 0.0000  6 S 2.38
Rh 0.0000 0.0000 0.5000  6 S 2.38
Rh 0.0000 0.5000 0.0000  6 S 2.38
Rh 0.5000 0.5000 0.5000  6 S 2.38
Rh 0.2500 0.0000 0.2500  6 S 2.38
Rh 0.7500 0.0000 0.7500  6 S 2.38
Rh 0.5000 0.0000 0.5000  6 S 2.38
Rh 0.0000 0.0000 0.0000  6 S 2.38
S 0.3566 0.7611 0.1194  1 Pd 2.36, 3 Rh 2.38
S 0.8567 0.7611 0.6194  1 Pd 2.36, 3 Rh 2.38
S 0.1433 0.2389 0.3806  1 Pd 2.36, 3 Rh 2.38
S 0.6434 0.2389 0.8806  1 Pd 2.36, 3 Rh 2.38
S 0.1426 0.7852 0.3813  1 Pd 2.36, 3 Rh 2.38
S 0.6426 0.7852 0.8813  1 Pd 2.36, 3 Rh 2.38
S 0.6313 0.7627 0.3924  1 Pd 2.36, 3 Rh 2.38
S 0.1314 0.7627 0.8924  1 Pd 2.36, 3 Rh 2.38
S 0.9044 0.7611 0.1194  1 Pd 2.36, 3 Rh 2.38
S 0.4045 0.7611 0.6194  1 Pd 2.36, 3 Rh 2.38
S 0.8686 0.2373 0.1076  1 Pd 2.36, 3 Rh 2.38
S 0.3687 0.2373 0.6076  1 Pd 2.36, 3 Rh 2.38
S 0.3574 0.2148 0.1187  1 Pd 2.36, 3 Rh 2.38
S 0.8574 0.2148 0.6187  1 Pd 2.36, 3 Rh 2.38
S 0.5955 0.2389 0.3806  1 Pd 2.36, 3 Rh 2.38
S 0.0956 0.2389 0.8806  1 Pd 2.36, 3 Rh 2.38

=====

Record 4
Computed, not measured: a geometry-optimized Pd2Rh15S15 structure at the PBE level of DFT.

Calculated values
V (Å³/atom): 15.91
Mass density (g/cm³): 7.30
Formation energy without anion corrections (meV per atom): -388
Size of the total moment (μB/cell): 0.0

abc: 10.0611 10.0611 10.0611
angles: 90.00 90.00 90.00
Last column: nearest neighbours and their distance in Å.
Atoms (fractional coordinates):
Pd 0.5000 0.0000 0.0000  4 S 2.46, 2 Rh 2.64
Pd 0.0000 0.0000 0.5000  4 S 2.46, 2 Rh 2.64
Pd 0.0000 0.5000 0.0000  4 S 2.46, 2 Rh 2.64
Pd 0.5000 0.5000 0.5000  6 S 2.43
Rh 0.1421 0.3571 0.6429  4 S 2.32-2.37
Rh 0.3571 0.3571 0.8579  4 S 2.32-2.37
Rh 0.3571 0.1421 0.6429  4 S 2.32-2.37
Rh 0.1421 0.6429 0.3571  4 S 2.32-2.37
Rh 0.3571 0.6429 0.1421  4 S 2.32-2.37
Rh 0.3571 0.8579 0.3571  4 S 2.32-2.37
Rh 0.8579 0.3571 0.3571  4 S 2.32-2.37
Rh 0.6429 0.3571 0.1421  4 S 2.32-2.37
Rh 0.6429 0.1421 0.3571  4 S 2.32-2.37
Rh 0.8579 0.6429 0.6429  4 S 2.32-2.37
Rh 0.6429 0.6429 0.8579  4 S 2.32-2.37
Rh 0.6429 0.8579 0.6429  4 S 2.32-2.37
Rh 0.8579 0.6429 0.3571  4 S 2.32-2.37
Rh 0.6429 0.6429 0.1421  4 S 2.32-2.37
Rh 0.6429 0.8579 0.3571  4 S 2.32-2.37
Rh 0.8579 0.3571 0.6429  4 S 2.32-2.37
Rh 0.6429 0.3571 0.8579  4 S 2.32-2.37
Rh 0.6429 0.1421 0.6429  4 S 2.32-2.37
Rh 0.1421 0.6429 0.6429  4 S 2.32-2.37
Rh 0.3571 0.6429 0.8579  4 S 2.32-2.37
Rh 0.3571 0.8579 0.6429  4 S 2.32-2.37
Rh 0.1421 0.3571 0.3571  4 S 2.32-2.37
Rh 0.3571 0.3571 0.1421  4 S 2.32-2.37
Rh 0.3571 0.1421 0.3571  4 S 2.32-2.37
Rh 0.2378 0.0000 0.0000  4 S 2.31
Rh 0.0000 0.0000 0.7622  4 S 2.31
Rh 0.0000 0.2378 0.0000  4 S 2.31
Rh 0.0000 0.0000 0.2378  4 S 2.31
Rh 0.0000 0.7622 0.0000  4 S 2.31
Rh 0.7622 0.0000 0.0000  4 S 2.31
S 0.5000 0.1729 0.8271  4 Rh 2.37, 1 Pd 2.46
S 0.1729 0.1729 0.5000  4 Rh 2.37, 1 Pd 2.46
S 0.1729 0.5000 0.8271  4 Rh 2.37, 1 Pd 2.46
S 0.5000 0.8271 0.1729  4 Rh 2.37, 1 Pd 2.46
S 0.1729 0.8271 0.5000  4 Rh 2.37, 1 Pd 2.46
S 0.1729 0.5000 0.1729  4 Rh 2.37, 1 Pd 2.46
S 0.5000 0.1729 0.1729  4 Rh 2.37, 1 Pd 2.46
S 0.8271 0.1729 0.5000  4 Rh 2.37, 1 Pd 2.46
S 0.8271 0.5000 0.1729  4 Rh 2.37, 1 Pd 2.46
S 0.5000 0.8271 0.8271  4 Rh 2.37, 1 Pd 2.46
S 0.8271 0.8271 0.5000  4 Rh 2.37, 1 Pd 2.46
S 0.8271 0.5000 0.8271  4 Rh 2.37, 1 Pd 2.46
S 0.0000 0.2291 0.7709  4 Rh 2.31-2.32
S 0.2291 0.2291 0.0000  4 Rh 2.31-2.32
S 0.2291 0.0000 0.7709  4 Rh 2.31-2.32
S 0.0000 0.7709 0.2291  4 Rh 2.31-2.32
S 0.2291 0.7709 0.0000  4 Rh 2.31-2.32
S 0.2291 0.0000 0.2291  4 Rh 2.31-2.32
S 0.0000 0.2291 0.2291  4 Rh 2.31-2.32
S 0.7709 0.2291 0.0000  4 Rh 2.31-2.32
S 0.7709 0.0000 0.2291  4 Rh 2.31-2.32
S 0.0000 0.7709 0.7709  4 Rh 2.31-2.32
S 0.7709 0.7709 0.0000  4 Rh 2.31-2.32
S 0.7709 0.0000 0.7709  4 Rh 2.31-2.32
S 0.2586 0.5000 0.5000  4 Rh 2.35, 1 Pd 2.43
S 0.5000 0.5000 0.7414  4 Rh 2.35, 1 Pd 2.43
S 0.5000 0.2586 0.5000  4 Rh 2.35, 1 Pd 2.43
S 0.5000 0.5000 0.2586  4 Rh 2.35, 1 Pd 2.43
S 0.5000 0.7414 0.5000  4 Rh 2.35, 1 Pd 2.43
S 0.7414 0.5000 0.5000  4 Rh 2.35, 1 Pd 2.43

=====

Record 5
Computed, not measured: a geometry-optimized SiPdRhS2 structure at the PBE level of DFT.

Calculated values
V (Å³/atom): 19.94
Mass density (g/cm³): 5.02
Formation energy without anion corrections (meV per atom): 887
Size of the total moment (μB/cell): 0.7

abc: 4.6853 4.5416 4.6853
angles: 90.00 90.00 90.00
Last column: nearest neighbours and their distance in Å.
Atoms (fractional coordinates):
S 0.0000 0.0000 0.5000  2 Pd 2.34
S 0.5000 0.0000 0.0000  2 Pd 2.34
Rh 0.5000 0.5000 0.5000  8 S 3.26, 4 Si 3.31
Si 0.0000 0.5000 0.0000  2 Pd 2.27
Pd 0.0000 0.0000 0.0000  2 Si 2.27, 4 S 2.34

=====

Record 6
Computed, not measured: a geometry-optimized Sn2PdRh2S6 structure at the PBE level of DFT.

Calculated values
V (Å³/atom): 20.02
Mass density (g/cm³): 5.60
Formation energy without anion corrections (meV per atom): -315
Size of the total moment (μB/cell): 0.0

abc: 6.4778 6.4778 6.5136
angles: 99.37 99.37 121.33
Last column: nearest neighbours and their distance in Å.
Atoms (fractional coordinates):
Sn 0.8343 0.1657 0.0000  6 S 2.72-2.88
Sn 0.1657 0.8343 0.0000  6 S 2.72-2.88
Pd 0.0000 0.0000 0.5000  6 S 2.39-2.62
Rh 0.3346 0.6654 0.5000  6 S 2.41-2.47
Rh 0.6654 0.3346 0.5000  6 S 2.41-2.47
S 0.7314 0.7314 0.6848  1 Pd 2.39, 2 Rh 2.43
S 0.0580 0.4171 0.7063  2 Rh 2.41-2.47, 1 Pd 2.62
S 0.2686 0.2686 0.3152  1 Pd 2.39, 2 Rh 2.43
S 0.4171 0.0580 0.7063  2 Rh 2.41-2.47, 1 Pd 2.62
S 0.9420 0.5829 0.2937  2 Rh 2.41-2.47, 1 Pd 2.62
S 0.5829 0.9420 0.2937  2 Rh 2.41-2.47, 1 Pd 2.62

=====

Record 7
Computed, not measured: a geometry-optimized SnPdRh2S2 structure at the PBE level of DFT.

Calculated values
V (Å³/atom): 18.26
Mass density (g/cm³): 7.51
Formation energy without anion corrections (meV per atom): -240
Size of the total moment (μB/cell): 0.0

abc: 3.3025 3.3025 11.7522
angles: 81.92 81.92 60.00
Last column: nearest neighbours and their distance in Å.
Atoms (fractional coordinates):
Sn 0.0000 0.0000 0.0000  6 Rh 2.97, 6 Sn 3.30
Pd 0.5000 0.5000 0.5000  2 S 2.29
Rh 0.7322 0.7322 0.8035  3 S 2.27
Rh 0.2678 0.2678 0.1965  3 S 2.27
S 0.5659 0.5659 0.3024  3 Rh 2.27, 1 Pd 2.29
S 0.4341 0.4341 0.6976  3 Rh 2.27, 1 Pd 2.29

=====

Record 8
Computed, not measured: a geometry-optimized Th4PdRhS2 structure at the PBE level of DFT.

Calculated values
V (Å³/atom): 25.27
Mass density (g/cm³): 9.87
Formation energy without anion corrections (meV per atom): -1223
Size of the total moment (μB/cell): 0.0

abc: 4.0776 7.4119 7.0519
angles: 71.55 90.00 90.00
Last column: nearest neighbours and their distance in Å.
Atoms (fractional coordinates):
Th 0.0000 0.7420 0.7586  2 Rh 2.89, 3 S 2.93-2.99, 1 Pd 2.94
Th 0.0000 0.2580 0.2414  2 Rh 2.89, 3 S 2.93-2.99, 1 Pd 2.94
Th 0.5000 0.7490 0.2432  1 Rh 2.89, 3 S 2.92-2.98, 2 Pd 2.95
Th 0.5000 0.2510 0.7568  1 Rh 2.89, 3 S 2.92-2.98, 2 Pd 2.95
Pd 0.0000 0.5000 0.5000  6 Th 2.94-2.95
Rh 0.5000 0.5000 0.0000  6 Th 2.89
S 0.0000 0.0000 0.0000  6 Th 2.92-2.93
S 0.5000 0.0000 0.5000  6 Th 2.98-2.99

=====

Record 9
Computed, not measured: a geometry-optimized UPdRh4S8 structure at the PBE level of DFT.

Calculated values
V (Å³/atom): 18.44
Mass density (g/cm³): 6.51
Formation energy without anion corrections (meV per atom): -607
Size of the total moment (μB/cell): 0.0

abc: 7.2920 7.2920 7.0121
angles: 58.67 58.67 60.00
Last column: nearest neighbours and their distance in Å.
Atoms (fractional coordinates):
U 0.9996 0.9996 0.0013  6 S 2.58-2.59
Pd 0.3734 0.3734 0.8797  4 S 2.31-2.35
Rh 0.6252 0.6252 0.1244  4 S 2.29-2.30
Rh 0.0002 0.5007 0.4989  6 S 2.40-2.43
Rh 0.5007 0.0002 0.4989  6 S 2.40-2.43
Rh 0.0002 0.0002 0.4989  6 S 2.40-2.43
S 0.2551 0.7709 0.7189  1 Pd 2.35, 2 Rh 2.41, 1 U 2.58
S 0.7709 0.2551 0.7189  1 Pd 2.35, 2 Rh 2.41, 1 U 2.58
S 0.2551 0.2551 0.7189  1 Pd 2.35, 2 Rh 2.41, 1 U 2.58
S 0.2359 0.2359 0.2924  1 Pd 2.31, 3 Rh 2.40
S 0.7431 0.2362 0.2775  3 Rh 2.30-2.43
S 0.2362 0.7431 0.2775  3 Rh 2.30-2.43
S 0.7431 0.7431 0.2775  3 Rh 2.30-2.43
S 0.7613 0.7613 0.7161  4 Rh 2.29-2.43

=====

Record 10
Computed, not measured: a geometry-optimized Sb4Pd2Rh structure at the PBE level of DFT.

Calculated values
V (Å³/atom): 21.95
Mass density (g/cm³): 8.68
Energy above the most stable polymorph in this dataset (eV per atom): 0.000
Formation energy without anion corrections (meV per atom): -408
Size of the total moment (μB/cell): 0.0

abc: 4.0905 6.6797 6.8092
angles: 61.74 89.99 72.14
Last column: nearest neighbours and their distance in Å.
Atoms (fractional coordinates):
Sb 0.8946 0.2130 0.5455  3 Pd 2.67-2.77, 1 Rh 2.69
Sb 0.1054 0.7870 0.4545  3 Pd 2.67-2.77, 1 Rh 2.69
Sb 0.6294 0.7410 0.9750  2 Rh 2.68, 3 Pd 2.71-2.82
Sb 0.3706 0.2590 0.0250  2 Rh 2.68, 3 Pd 2.71-2.82
Pd 0.7351 0.5276 0.7156  6 Sb 2.67-2.82, 1 Rh 2.92
Pd 0.2649 0.4724 0.2844  6 Sb 2.67-2.82, 1 Rh 2.92
Rh 0.0000 0.0000 0.0000  6 Sb 2.68-2.69, 2 Pd 2.92

=====

Record 11
Computed, not measured: a geometry-optimized SbPdRh2 structure at the PBE level of DFT.

Calculated values
V (Å³/atom): 15.84
Mass density (g/cm³): 11.37
Formation energy without anion corrections (meV per atom): -277
Size of the total moment (μB/cell): 0.0

abc: 4.1787 4.1787 4.6793
angles: 116.50 116.50 90.04
Last column: nearest neighbours and their distance in Å.
Atoms (fractional coordinates):
Sb 0.5000 0.0000 0.0000  8 Rh 2.77, 4 Pd 2.95-2.96
Pd 0.0000 0.5000 0.0000  8 Rh 2.77, 4 Sb 2.95-2.96
Rh 0.7500 0.7500 0.5000  4 Sb 2.77, 4 Pd 2.77, 4 Rh 2.95-2.96
Rh 0.2500 0.2500 0.5000  4 Sb 2.77, 4 Pd 2.77, 4 Rh 2.95-2.96